# TlCu6Br8 | Alexandria via LeMat-Bulk | GGA-PBE | optimized geometry
# **Total DFT energy (no corrections)**: -2.847 eV per atom
# **D(E_F)**: 37.568 states/eV/cell
# **Spin magnetization**: 0.00 μB/atom
# **ΔE_f (raw)**: -2.38 eV per formula unit
data_TlCu6Br8
_chemical_formula_sum 'Tl4 Cu24 Br32'
_symmetry_space_group_name_H-M 'F m -3 m'
_symmetry_Int_Tables_number 225
_symmetry_space_group_name_Hall '-F 4 2 3'
_cell_length_a 12.489
_cell_length_b 12.489
_cell_length_c 12.489
_cell_angle_alpha 90.00
_cell_angle_beta 90.00
_cell_angle_gamma 90.00
loop_
_atom_site_label
_atom_site_fract_x
_atom_site_fract_y
_atom_site_fract_z
_atom_site_occupancy
Tl1 0.000 0.000 0.000 1
Cu1 0.000 0.250 0.250 1
Br1 0.148 0.148 0.148 1